1.
Material: NdTm5Cu4
Method: DFT, PBE-GGA
State: optimized geometry

Calculated values
Total moment   0.00 μB/atom
N(E_F)   6.8 states/eV/f.u.
E   -4.57 eV per atom
ΔH_f (0 K)   -2.2 eV per formula unit

Cell: 3.417 3.417 19.142 Å, 90.00 90.00 90.00°
Element x y z (fractional)
Tm (0.500, 0.500, 0.142)
Tm (0.500, 0.500, 0.320)
Nd (0.000, 0.000, 0.000)
Tm (0.500, 0.500, 0.680)
Cu (0.000, 0.000, 0.590)
Tm (0.500, 0.500, 0.500)
Cu (0.000, 0.000, 0.410)
Cu (0.000, 0.000, 0.771)
Tm (0.500, 0.500, 0.858)
Cu (0.000, 0.000, 0.229)

---

2.
Material: PmHo2Si
Method: DFT, PBE-GGA
State: optimized geometry

Calculated values
Energy relative to the elements, uncorrected   0.0 eV/f.u.
Total moment   0.00 μB/atom
N(E_F)   4.7 states/eV/f.u.
E   -4.84 eV per atom
Energy above the most stable polymorph in this dataset   372 meV per atom

Cell: 3.557 3.557 11.076 Å, 80.76 80.76 60.00°
Element x y z (fractional)
Si (0.500, 0.500, 0.500)
Ho (0.893, 0.893, 0.322)
Pm (0.000, 0.000, 0.000)
Ho (0.107, 0.107, 0.678)

---

3.
Material: Sc3Sn4
Method: DFT, PBE-GGA
State: optimized geometry

Calculated values
Total moment   0.00 μB/atom
N(E_F)   3.4 states/eV/f.u.
E   -5.50 eV per atom
ΔH_f (0 K)   -3.5 eV per formula unit

Cell: 4.189 5.839 14.990 Å, 90.01 90.00 111.02°
Element x y z (fractional)
Sn (0.001, 0.002, 0.500)
Sn (0.824, 0.647, 0.750)
Sc (0.656, 0.312, 0.402)
Sc (0.656, 0.313, 0.099)
Sc (0.089, 0.178, 0.750)
Sc (0.913, 0.827, 0.250)
Sc (0.346, 0.692, 0.599)
Sn (0.179, 0.357, 0.250)
Sn (0.001, 0.003, 0.000)
Sn (0.639, 0.278, 0.892)
Sn (0.363, 0.726, 0.392)
Sn (0.639, 0.278, 0.609)
Sn (0.363, 0.727, 0.109)
Sc (0.346, 0.692, 0.902)